Record 1
# InTc3Cl | Alexandria via LeMat-Bulk | PBE | optimized geometry
data_InTc3Cl
_chemical_formula_sum 'In1 Tc3 Cl1'
_space_group_name_H-M_alt 'P m -3 m'
_space_group_IT_number 221
_space_group_name_Hall '-P 4 2 3'
_cell_length_a 5.195
_cell_length_b 5.195
_cell_length_c 5.195
_cell_angle_alpha 90.00
_cell_angle_beta 90.00
_cell_angle_gamma 90.00
loop_
_atom_site_label
_atom_site_type_symbol
_atom_site_fract_x
_atom_site_fract_y
_atom_site_fract_z
_atom_site_occupancy
In1 In 0.000 0.000 0.000 1
Tc1 Tc 0.000 0.000 0.500 1
Cl1 Cl 0.500 0.500 0.500 1
# E_tot (eV per atom): -4.865
# ΔE to the lowest computed polymorph (meV/atom): 1326
# Spin magnetization (μB/f.u.): 10.5
# ΔE_f (raw) (eV per formula unit): 11.4



Record 2
# Ti3CS3 | Alexandria via LeMat-Bulk | PBE | optimized geometry
data_Ti3CS3
_chemical_formula_sum 'Ti6 C2 S6'
_space_group_name_H-M_alt 'P 1 21/m 1'
_space_group_IT_number 11
_space_group_name_Hall '-P 2yb'
_cell_length_a 6.854
_cell_length_b 3.286
_cell_length_c 9.500
_cell_angle_alpha 90.00
_cell_angle_beta 90.57
_cell_angle_gamma 90.00
loop_
_atom_site_label
_atom_site_type_symbol
_atom_site_fract_x
_atom_site_fract_y
_atom_site_fract_z
_atom_site_occupancy
Ti1 Ti 0.101 0.250 0.389 1
Ti2 Ti 0.117 0.250 0.844 1
Ti3 Ti 0.324 0.750 0.622 1
C1 C 0.117 0.250 0.621 1
S1 S 0.135 0.250 0.127 1
S2 S 0.369 0.750 0.869 1
S3 S 0.379 0.750 0.372 1
# E_tot (eV per atom): -7.717
# Spin magnetization (μB/f.u.): 0.0
# ΔE_f (raw) (eV per formula unit): -8.7



Record 3
# Tb6SmHo2Sc3 | Alexandria via LeMat-Bulk | PBE | optimized geometry
data_Tb6SmHo2Sc3
_chemical_formula_sum 'Tb12 Sm2 Ho4 Sc6'
_space_group_name_H-M_alt 'C 1 2/m 1'
_space_group_IT_number 12
_space_group_name_Hall '-C 2y'
_cell_length_a 6.062
_cell_length_b 10.493
_cell_length_c 11.473
_cell_angle_alpha 90.00
_cell_angle_beta 100.12
_cell_angle_gamma 90.00
loop_
_atom_site_label
_atom_site_type_symbol
_atom_site_fract_x
_atom_site_fract_y
_atom_site_fract_z
_atom_site_occupancy
Tb1 Tb 0.247 0.000 0.240 1
Tb2 Tb 0.247 0.333 0.241 1
Sm1 Sm 0.000 0.000 0.500 1
Ho1 Ho 0.000 0.333 0.500 1
Sc1 Sc 0.000 0.167 0.000 1
Sc2 Sc 0.000 0.500 0.000 1
# ΔH_f (0 K) (meV per atom): 43
# E_tot (eV per atom): -5.011
# Spin magnetization (μB/f.u.): 0.0



Record 4
# KCoNiSe3 | Alexandria via LeMat-Bulk | PBE | optimized geometry
data_KCoNiSe3
_chemical_formula_sum 'K2 Co2 Ni2 Se6'
_space_group_name_H-M_alt 'P 1 21/m 1'
_space_group_IT_number 11
_space_group_name_Hall '-P 2yb'
_cell_length_a 8.453
_cell_length_b 3.710
_cell_length_c 9.417
_cell_angle_alpha 90.00
_cell_angle_beta 113.16
_cell_angle_gamma 90.00
loop_
_atom_site_label
_atom_site_type_symbol
_atom_site_fract_x
_atom_site_fract_y
_atom_site_fract_z
_atom_site_occupancy
K1 K 0.232 0.250 0.261 1
Co1 Co 0.072 0.250 0.602 1
Ni1 Ni 0.323 0.750 0.852 1
Se1 Se 0.136 0.250 0.864 1
Se2 Se 0.222 0.750 0.559 1
Se3 Se 0.479 0.750 0.133 1
# E_tot (eV per atom): -4.506
# Spin magnetization (μB/f.u.): 1.2
# ΔE_f (raw) (eV per formula unit): -2.6



Record 5
# KLa2SmTe4 | Alexandria via LeMat-Bulk | PBE | optimized geometry
data_KLa2SmTe4
_chemical_formula_sum 'K1 La2 Sm1 Te4'
_space_group_name_H-M_alt 'P 1 2/m 1'
_space_group_IT_number 10
_space_group_name_Hall '-P 2y'
_cell_length_a 7.950
_cell_length_b 4.574
_cell_length_c 8.071
_cell_angle_alpha 90.00
_cell_angle_beta 108.95
_cell_angle_gamma 90.00
loop_
_atom_site_label
_atom_site_type_symbol
_atom_site_fract_x
_atom_site_fract_y
_atom_site_fract_z
_atom_site_occupancy
K1 K 0.000 0.000 0.000 1
La1 La 0.500 0.000 0.500 1
La2 La 0.500 0.500 0.000 1
Sm1 Sm 0.000 0.500 0.500 1
Te1 Te 0.247 0.000 0.741 1
Te2 Te 0.256 0.500 0.262 1
# E_tot (eV per atom): -4.986
# Spin magnetization (μB/f.u.): 0.0
# ΔE_f (raw) (eV per formula unit): -11.7



Record 6
# CaZn2GaAg2 | Alexandria via LeMat-Bulk | PBE | optimized geometry
data_CaZn2GaAg2
_chemical_formula_sum 'Ca1 Zn2 Ga1 Ag2'
_space_group_name_H-M_alt 'P 4/m m m'
_space_group_IT_number 123
_space_group_name_Hall '-P 4 2'
_cell_length_a 4.748
_cell_length_b 4.748
_cell_length_c 5.887
_cell_angle_alpha 90.00
_cell_angle_beta 90.00
_cell_angle_gamma 90.00
loop_
_atom_site_label
_atom_site_type_symbol
_atom_site_fract_x
_atom_site_fract_y
_atom_site_fract_z
_atom_site_occupancy
Ca1 Ca 0.000 0.000 0.000 1
Zn1 Zn 0.000 0.500 0.500 1
Ga1 Ga 0.000 0.000 0.500 1
Ag1 Ag 0.500 0.500 0.235 1
# ΔH_f (0 K) (meV per atom): 23
# E_tot (eV per atom): -2.190
# Spin magnetization (μB/f.u.): 0.0



Record 7
# CoPRu | Alexandria via LeMat-Bulk | PBE | optimized geometry
data_CoPRu
_chemical_formula_sum 'Co2 P2 Ru2'
_space_group_name_H-M_alt 'C 1 m 1'
_space_group_IT_number 8
_space_group_name_Hall 'C -2y'
_cell_length_a 5.140
_cell_length_b 2.971
_cell_length_c 5.347
_cell_angle_alpha 90.00
_cell_angle_beta 108.81
_cell_angle_gamma 90.00
loop_
_atom_site_label
_atom_site_type_symbol
_atom_site_fract_x
_atom_site_fract_y
_atom_site_fract_z
_atom_site_occupancy
Co1 Co 0.000 0.000 0.000 1
P1 P 0.257 0.500 0.267 1
Ru1 Ru 0.193 0.000 0.575 1
# ΔH_f (0 K) (meV per atom): -193
# E_tot (eV per atom): -7.457
# Spin magnetization (μB/f.u.): 0.9



Record 8
# Al2MoRu | Alexandria via LeMat-Bulk | PBE | optimized geometry
data_Al2MoRu
_chemical_formula_sum 'Al2 Mo1 Ru1'
_space_group_name_H-M_alt 'P 1 2/m 1'
_space_group_IT_number 10
_space_group_name_Hall '-P 2y'
_cell_length_a 2.816
_cell_length_b 4.126
_cell_length_c 5.170
_cell_angle_alpha 90.00
_cell_angle_beta 99.65
_cell_angle_gamma 90.00
loop_
_atom_site_label
_atom_site_type_symbol
_atom_site_fract_x
_atom_site_fract_y
_atom_site_fract_z
_atom_site_occupancy
Al1 Al 0.204 0.000 0.258 1
Mo1 Mo 0.500 0.500 0.000 1
Ru1 Ru 0.000 0.500 0.500 1
# ΔH_f (0 K) (meV per atom): -213
# E_tot (eV per atom): -7.111
# ΔE to the lowest computed polymorph (meV/atom): 169
# Spin magnetization (μB/f.u.): 0.0



Record 9
# Ca3HgF | Alexandria via LeMat-Bulk | PBE | optimized geometry
data_Ca3HgF
_chemical_formula_sum 'Ca3 Hg1 F1'
_space_group_name_H-M_alt 'P m -3 m'
_space_group_IT_number 221
_space_group_name_Hall '-P 4 2 3'
_cell_length_a 4.986
_cell_length_b 4.986
_cell_length_c 4.986
_cell_angle_alpha 90.00
_cell_angle_beta 90.00
_cell_angle_gamma 90.00
loop_
_atom_site_label
_atom_site_type_symbol
_atom_site_fract_x
_atom_site_fract_y
_atom_site_fract_z
_atom_site_occupancy
Ca1 Ca 0.000 0.000 0.500 1
Hg1 Hg 0.500 0.500 0.500 1
F1 F 0.000 0.000 0.000 1
# E_tot (eV per atom): -2.868
# ΔE to the lowest computed polymorph (meV/atom): 0
# Spin magnetization (μB/f.u.): 0.0
# ΔE_f (raw) (eV per formula unit): -6.2



Record 10
# ZnTc5 | Alexandria via LeMat-Bulk | PBE | optimized geometry
data_ZnTc5
_chemical_formula_sum 'Zn1 Tc5'
_space_group_name_H-M_alt 'P -6 2 m'
_space_group_IT_number 189
_space_group_name_Hall 'P -6 -2'
_cell_length_a 4.7330
_cell_length_b 4.7330
_cell_length_c 4.4424
_cell_angle_alpha 90.00
_cell_angle_beta 90.00
_cell_angle_gamma 120.00
loop_
_atom_site_label
_atom_site_type_symbol
_atom_site_fract_x
_atom_site_fract_y
_atom_site_fract_z
_atom_site_occupancy
Zn1 Zn 0.0000 0.0000 0.0000 1
Tc1 Tc 0.0000 0.6723 0.5000 1
Tc2 Tc 0.3333 0.6667 0.0000 1
# ΔH_f (0 K) (meV per atom): 20
# E_tot (eV per atom): -8.831
# ΔE to the lowest computed polymorph (meV/atom): 0
# Spin magnetization (μB/f.u.): 0.0



Record 11
# TiSb | Alexandria via LeMat-Bulk | PBE | optimized geometry
data_TiSb
_chemical_formula_sum 'Ti6 Sb6'
_space_group_name_H-M_alt 'P 63/m'
_space_group_IT_number 176
_space_group_name_Hall '-P 6c'
_cell_length_a 9.8181
_cell_length_b 9.8181
_cell_length_c 3.9690
_cell_angle_alpha 90.00
_cell_angle_beta 90.00
_cell_angle_gamma 120.00
loop_
_atom_site_label
_atom_site_type_symbol
_atom_site_fract_x
_atom_site_fract_y
_atom_site_fract_z
_atom_site_occupancy
Ti1 Ti 0.1477 0.5027 0.2500 1
Sb1 Sb 0.0305 0.7055 0.2500 1
# E_tot (eV per atom): -5.908
# Spin magnetization (μB/f.u.): 0.0
# ΔE_f (raw) (eV per formula unit): 0.2



Record 12
# GdBrO | Alexandria via LeMat-Bulk | PBE | optimized geometry
data_GdBrO
_chemical_formula_sum 'Gd1 Br1 O1'
_space_group_name_H-M_alt 'P 3 m 1'
_space_group_IT_number 156
_space_group_name_Hall 'P 3 -2"'
_cell_length_a 3.7767
_cell_length_b 3.7767
_cell_length_c 5.5847
_cell_angle_alpha 90.00
_cell_angle_beta 90.00
_cell_angle_gamma 120.00
loop_
_atom_site_label
_atom_site_type_symbol
_atom_site_fract_x
_atom_site_fract_y
_atom_site_fract_z
_atom_site_occupancy
Gd1 Gd 0.0000 0.0000 0.0000 1
Br1 Br 0.3333 0.6667 0.6289 1
O1 O 0.6667 0.3333 0.0901 1
# E_tot (eV per atom): -9.599
# Spin magnetization (μB/f.u.): 7.0
# ΔE_f (raw) (eV per formula unit): -8.1